Crystalline Be3AlSn at its relaxed geometry. Source: Alexandria via LeMat-Bulk, functional PBE-GGA.

- Formation energy from the elements: 1.003 eV per atom
- Raw total energy: -2.7817 eV per atom
- N(E_F): 0.457 states/eV/atom

Cell lengths 4.4405, 4.4405, 4.4405 Å; angles 90.00, 90.00, 90.00 degrees
Space group Pm-3m (No. 221)
Inequivalent atoms, fractional coordinates:
Be1 0.0000 0.0000 0.5000
Al1 0.0000 0.0000 0.0000
Sn1 0.5000 0.5000 0.5000